## TlHOF2 (PBE-GGA)

Data for TlHOF2 after structural relaxation.

Calculated values
- Distance to the lowest polymorph of the same formula: 301 meV per atom
- Space group: P4/mmm, No. 123
- Theoretical density: 5.052 g/cm³

Geometry as extended XYZ:
```
5
Lattice="4.428 0.000 0.000 0.000 4.428 0.000 0.000 0.000 4.349" Properties=species:S:1:pos:R:3 pbc="T T T"
Tl 0.000 0.000 0.000
H 2.214 2.214 2.174
O 0.000 0.000 2.174
F 0.000 2.214 0.000
F 2.214 0.000 0.000
```